Entry from the Alexandria database: a geometry-optimized DyTh3Te4 structure (GGA-PBE).

Cell and atoms, written as POSCAR:
```
DyTh3Te4
1.0
-0.955 2.891 -3.149
0.895 -5.514 -5.334
-7.378 0.050 2.285
Th Dy Te
3 1 4
direct
0.000 0.000 0.500
0.000 0.500 0.000
0.500 0.500 0.500
0.500 0.000 0.000
0.500 0.755 0.245
0.000 0.759 0.759
0.500 0.245 0.755
0.000 0.241 0.241
```

Summary:
Size of the total moment: 0.00 μB per atom
Space group: Cmmm, No. 65
Total DFT energy (no corrections): -5.9987 eV/atom

---

Entry from the Alexandria database: a geometry-optimized Dy2ThTe3 structure (GGA-PBE).

Cell and atoms, written as POSCAR:
```
Dy2ThTe3
1.0
-0.365 -3.155 -2.801
5.104 2.018 -2.939
1.496 -3.413 6.850
Th Te Dy
1 3 2
direct
0.500 0.500 0.500
0.176 0.676 0.853
0.824 0.324 0.147
0.500 0.000 0.500
0.159 0.159 0.819
0.841 0.841 0.181
```

Summary:
Size of the total moment: 0.00 μB per atom
Space group: Immm, No. 71
Total DFT energy (no corrections): -5.5145 eV/atom

---

Entry from the Alexandria database: a geometry-optimized Dy4ThTe5 structure (GGA-PBE).

Cell and atoms, written as POSCAR:
```
Dy4ThTe5
1.0
-0.213 4.021 1.671
1.534 -1.496 3.797
14.001 1.521 -7.561
Dy Te Th
4 5 1
direct
0.208 0.208 0.417
0.406 0.406 0.812
0.594 0.594 0.188
0.792 0.792 0.583
0.895 0.895 0.790
0.500 0.500 0.000
0.694 0.694 0.388
0.306 0.306 0.612
0.105 0.105 0.210
0.000 0.000 0.000
```

Summary:
Size of the total moment: 0.00 μB per atom
Space group: I4/mmm, No. 139
Total DFT energy (no corrections): -5.3727 eV/atom

---

Entry from the Alexandria database: a geometry-optimized DyThTe structure (GGA-PBE).

Cell and atoms, written as POSCAR:
```
DyThTe
1.0
-1.746 3.384 -0.557
-0.223 -0.736 -3.771
-4.523 -4.026 3.016
Te Th Dy
1 1 1
direct
0.673 0.673 0.347
0.012 0.012 0.025
0.314 0.314 0.629
```

Summary:
Size of the total moment: 0.00 μB per atom
Space group: I4mm, No. 107
Total DFT energy (no corrections): -5.6670 eV/atom

---

Entry from the Alexandria database: a geometry-optimized DyTh2Tl3Te6 structure (GGA-PBE).

Cell and atoms, written as POSCAR:
```
DyTh2Tl3Te6
1.0
-3.590 6.157 2.668
-4.014 -5.803 -2.850
2.181 -3.661 7.767
Tl Th Te Dy
3 2 6 1
direct
0.500 0.500 0.500
0.168 0.832 0.500
0.832 0.168 0.500
0.666 0.334 0.000
0.334 0.666 0.000
0.598 0.927 0.779
0.747 0.747 0.223
0.073 0.402 0.221
0.253 0.253 0.777
0.402 0.073 0.221
0.927 0.598 0.779
0.000 0.000 0.000
```

Summary:
Size of the total moment: 0.00 μB per atom
Space group: C2/m, No. 12
Total DFT energy (no corrections): -4.6744 eV/atom

---

Entry from the Alexandria database: a geometry-optimized Dy3ThTl3Te8 structure (GGA-PBE).

Cell and atoms, written as POSCAR:
```
Dy3ThTl3Te8
1.0
8.883 0.000 0.000
-4.441 7.693 -0.029
0.000 -5.096 8.257
Te Dy Th Tl
8 3 1 3
direct
0.759 0.518 0.285
0.262 0.525 0.287
0.241 0.974 0.715
0.241 0.482 0.715
0.733 0.974 0.715
0.267 0.026 0.285
0.738 0.475 0.713
0.759 0.026 0.285
0.500 0.000 0.500
0.500 0.500 0.500
0.000 0.500 0.500
0.000 0.000 0.500
0.000 0.000 0.000
0.000 0.500 0.000
0.500 0.500 0.000
```

Summary:
Size of the total moment: 0.00 μB per atom
Space group: R-3m, No. 166
Total DFT energy (no corrections): -4.6448 eV/atom

---

Entry from the Alexandria database: a geometry-optimized DyTh3Tl3Te8 structure (GGA-PBE).

Cell and atoms, written as POSCAR:
```
DyTh3Tl3Te8
1.0
8.799 0.000 0.000
-4.400 7.618 -0.032
0.000 -5.043 8.527
Te Th Tl Dy
8 3 3 1
direct
0.256 0.019 0.282
0.763 0.525 0.282
0.744 0.981 0.718
0.763 0.019 0.282
0.742 0.484 0.726
0.258 0.516 0.274
0.237 0.475 0.718
0.237 0.981 0.718
0.500 0.000 0.500
0.500 0.500 0.500
0.000 0.500 0.500
0.500 0.500 0.000
0.000 0.500 0.000
0.000 0.000 0.000
0.000 0.000 0.500
```

Summary:
Size of the total moment: 0.00 μB per atom
Space group: R-3m, No. 166
Total DFT energy (no corrections): -4.8962 eV/atom

---

Entry from the Alexandria database: a geometry-optimized Dy3ThTl4Te8 structure (GGA-PBE).

Cell and atoms, written as POSCAR:
```
Dy3ThTl4Te8
1.0
-2.454 2.647 8.099
-6.270 -7.425 0.527
8.487 -1.984 -1.634
Te Tl Dy Th
8 4 3 1
direct
0.759 0.283 0.024
0.265 0.283 0.024
0.738 0.713 0.476
0.241 0.717 0.976
0.262 0.287 0.524
0.735 0.717 0.976
0.759 0.283 0.518
0.241 0.717 0.482
0.000 0.000 0.000
0.500 0.000 0.000
0.500 0.000 0.500
0.000 0.000 0.500
0.500 0.500 0.500
0.500 0.500 0.000
0.000 0.500 0.500
0.000 0.500 0.000
```

Summary:
Size of the total moment: 0.00 μB per atom
Space group: R-3m, No. 166
Total DFT energy (no corrections): -4.4797 eV/atom

---

Entry from the Alexandria database: a geometry-optimized Dy2TmTh3Te6 structure (GGA-PBE).

Cell and atoms, written as POSCAR:
```
Dy2TmTh3Te6
1.0
4.221 0.000 0.000
0.000 9.200 -0.306
-2.111 -3.314 9.399
Te Th Dy Tm
6 3 2 1
direct
0.669 0.574 0.339
0.662 0.089 0.324
0.338 0.911 0.676
0.003 0.239 0.006
0.331 0.426 0.661
0.997 0.761 0.994
0.833 0.167 0.665
0.500 0.500 0.000
0.167 0.833 0.335
0.833 0.667 0.665
0.167 0.333 0.335
0.500 0.000 0.000
```

Summary:
Size of the total moment: 0.00 μB per atom
Space group: C2/m, No. 12
Total DFT energy (no corrections): -5.6900 eV/atom

---

Entry from the Alexandria database: a geometry-optimized Dy3Tm2ThTe6 structure (GGA-PBE).

Cell and atoms, written as POSCAR:
```
Dy3Tm2ThTe6
1.0
4.219 0.000 0.000
0.000 8.977 0.709
-2.109 -2.164 9.129
Te Tm Dy Th
6 2 3 1
direct
0.009 0.264 0.018
0.668 0.599 0.335
0.677 0.109 0.355
0.323 0.891 0.645
0.332 0.401 0.665
0.991 0.736 0.982
0.167 0.349 0.333
0.833 0.651 0.667
0.150 0.853 0.300
0.500 0.500 0.000
0.850 0.147 0.700
0.500 0.000 0.000
```

Summary:
Size of the total moment: 0.00 μB per atom
Space group: C2/m, No. 12
Total DFT energy (no corrections): -5.2776 eV/atom